A geometry-optimized EuInPt structure, computed with GGA-PBE.

The structure in extended XYZ format:
```
3
Lattice="3.9786 0.0000 0.0000 0.0000 4.6809 0.0000 0.0000 -2.3404 4.0537" Properties=species:S:1:pos:R:3 pbc="T T T"
Eu 2.6525 2.3404 1.3512
Pt 0.6639 0.0000 0.0000
In 0.6622 0.0000 2.7025
```

## Properties
E_tot	-7.0617	eV per atom
symmetry	P-6m2
D(E_F)	3.015	states/eV per atom
total moment	7.012	μB/cell